{
  "formula": "MgGaAgPd",
  "functional": "PBE",
  "state": "optimized geometry",
  "relative_energy_kj_per_mol_fu": 0,
  "crystal_system": "cubic",
  "final_energy_ev_per_atom": -3.5789,
  "lattice_angstrom": [[0.000, 3.197, 3.197], [3.197, 0.000, 3.197], [3.197, 3.197, 0.000]],
  "species": ["Mg", "Ga", "Ag", "Pd"],
  "frac_coords": [[0.000, 0.000, 0.000], [0.500, 0.500, 0.500], [0.250, 0.250, 0.250], [0.750, 0.750, 0.750]]
}

{
  "formula": "Nd3Co2C2N3",
  "functional": "PBE",
  "state": "optimized geometry",
  "crystal_system": "tetragonal",
  "final_energy_ev_per_atom": -7.9412,
  "total_magnetization_mub_per_cell": 0.0,
  "lattice_angstrom": [[-1.791, 1.791, 9.940], [1.791, -1.791, 9.940], [1.791, 1.791, -9.940]],
  "species": ["Nd", "Nd", "Nd", "Co", "Co", "C", "C", "N", "N", "N"],
  "frac_coords": [[0.000, 0.000, 0.000], [0.371, 0.371, 0.000], [0.629, 0.629, 0.000], [0.250, 0.750, 0.500], [0.750, 0.250, 0.500], [0.196, 0.196, 0.000], [0.804, 0.804, 0.000], [0.125, 0.125, 0.000], [0.500, 0.500, 0.000], [0.875, 0.875, 0.000]]
}

{
  "formula": "NaTbHgTe3",
  "functional": "PBE",
  "state": "optimized geometry",
  "relative_energy_kj_per_mol_fu": 37,
  "crystal_system": "orthorhombic",
  "final_energy_ev_per_atom": -3.4150,
  "total_magnetization_mub_per_cell": 0.0,
  "lattice_angstrom": [[8.965, 0.000, 0.000], [0.000, 4.495, 0.000], [0.000, 0.000, 18.564]],
  "species": ["Na", "Na", "Na", "Na", "Tb", "Tb", "Tb", "Tb", "Hg", "Hg", "Hg", "Hg", "Te", "Te", "Te", "Te", "Te", "Te", "Te", "Te", "Te", "Te", "Te", "Te"],
  "frac_coords": [[0.101, 0.250, 0.195], [0.399, 0.750, 0.695], [0.601, 0.250, 0.305], [0.899, 0.750, 0.805], [0.219, 0.250, 0.962], [0.281, 0.750, 0.462], [0.719, 0.250, 0.538], [0.781, 0.750, 0.038], [0.027, 0.250, 0.669], [0.473, 0.750, 0.169], [0.527, 0.250, 0.831], [0.973, 0.750, 0.331], [0.009, 0.250, 0.428], [0.125, 0.750, 0.065], [0.204, 0.250, 0.793], [0.296, 0.750, 0.293], [0.375, 0.250, 0.565], [0.491, 0.750, 0.928], [0.509, 0.250, 0.072], [0.625, 0.750, 0.435], [0.704, 0.250, 0.707], [0.796, 0.750, 0.207], [0.875, 0.250, 0.935], [0.991, 0.750, 0.572]]
}

{
  "formula": "Y2Cu2Ge",
  "functional": "PBE",
  "state": "optimized geometry",
  "relative_energy_kj_per_mol_fu": 65,
  "crystal_system": "tetragonal",
  "final_energy_ev_per_atom": -5.0212,
  "total_magnetization_mub_per_cell": 0.0,
  "lattice_angstrom": [[-1.914, 1.914, 6.805], [1.914, -1.914, 6.805], [1.914, 1.914, -6.805]],
  "species": ["Y", "Y", "Cu", "Cu", "Ge"],
  "frac_coords": [[0.104, 0.104, 0.000], [0.896, 0.896, 0.000], [0.250, 0.750, 0.500], [0.750, 0.250, 0.500], [0.500, 0.500, 0.000]]
}

{
  "formula": "MgAlBPd",
  "functional": "PBE",
  "state": "optimized geometry",
  "relative_energy_kj_per_mol_fu": 58,
  "crystal_system": "cubic",
  "final_energy_ev_per_atom": -4.0227,
  "lattice_angstrom": [[0.000, 3.000, 3.000], [3.000, 0.000, 3.000], [3.000, 3.000, 0.000]],
  "species": ["Mg", "Al", "B", "Pd"],
  "frac_coords": [[0.000, 0.000, 0.000], [0.250, 0.250, 0.250], [0.750, 0.750, 0.750], [0.500, 0.500, 0.500]]
}

{
  "formula": "SmGdSi2Ni2",
  "functional": "PBE",
  "state": "optimized geometry",
  "crystal_system": "tetragonal",
  "final_energy_ev_per_atom": -5.9827,
  "total_magnetization_mub_per_cell": 0.0,
  "lattice_angstrom": [[4.098, 0.000, 0.000], [0.000, 4.098, 0.000], [0.000, 0.000, 6.561]],
  "species": ["Sm", "Gd", "Si", "Si", "Ni", "Ni"],
  "frac_coords": [[0.000, 0.000, 0.000], [0.500, 0.500, 0.366], [0.000, 0.000, 0.491], [0.500, 0.500, 0.864], [0.000, 0.500, 0.679], [0.500, 0.000, 0.679]]
}